Below is LaMn3Si at its PBEsol-relaxed geometry, with properties calculated at the meta-GGA SCAN level.

```
LaMn3Si
1.0
-1.534 1.558 3.931
-1.187 -4.172 1.190
4.058 -0.632 1.835
Mn Si La
3 1 1
direct
0.000 0.500 0.000 Mn
0.000 0.000 0.500 Mn
0.500 0.000 0.000 Mn
0.000 0.000 0.000 Si
0.500 0.500 0.500 La
```

M_tot, Bohr magnetons per cell: 9.8
Symmetry: Pm-3m (221)
ΔE_f (raw), eV/f.u.: 0.14
D(E_F), states/eV/f.u.: 3.3
Calculated total energy, eV/atom: -21.549



Below is La3YMn4Si4 at its PBEsol-relaxed geometry, with properties calculated at the meta-GGA SCAN level.

```
La3YMn4Si4
1.0
3.957 0.000 0.000
0.000 3.957 0.000
0.000 0.000 14.762
Si Mn La Y
4 4 3 1
direct
0.000 0.000 0.098 Si
0.500 0.500 0.407 Si
0.500 0.500 0.916 Si
0.000 0.000 0.587 Si
0.500 0.000 0.497 Mn
0.000 0.500 0.497 Mn
0.000 0.500 0.006 Mn
0.500 0.000 0.006 Mn
0.500 0.500 0.663 La
0.000 0.000 0.329 La
0.000 0.000 0.839 La
0.500 0.500 0.155 Y
```

M_tot, Bohr magnetons per cell: 7.4
Symmetry: P4mm (99)
ΔE_f (raw), eV/f.u.: -7.05
D(E_F), states/eV/f.u.: 6.3
Calculated total energy, eV/atom: -23.108



Below is SrLa3Mn at its PBEsol-relaxed geometry, with properties calculated at the meta-GGA SCAN level.

```
SrLa3Mn
1.0
-2.504 -3.128 3.710
4.594 -2.873 0.677
1.564 3.432 3.949
Mn Sr La
1 1 3
direct
0.000 0.000 0.000 Mn
0.500 0.500 0.500 Sr
0.500 0.000 0.000 La
0.000 0.500 0.000 La
0.000 0.000 0.500 La
```

M_tot, Bohr magnetons per cell: 0.7
Symmetry: Pm-3m (221)
Formation energy from the elements, eV/atom: 0.210
D(E_F), states/eV/f.u.: 4.5
Calculated total energy, eV/atom: -33.759



Below is LaTaMn3 at its PBEsol-relaxed geometry, with properties calculated at the meta-GGA SCAN level.

```
LaTaMn3
1.0
-2.443 1.617 3.679
1.537 -3.603 2.603
3.714 2.554 1.343
Mn La Ta
3 1 1
direct
0.000 0.500 0.000 Mn
0.500 0.000 0.000 Mn
0.000 0.000 0.500 Mn
0.500 0.500 0.500 La
0.000 0.000 0.000 Ta
```

M_tot, Bohr magnetons per cell: 9.0
Symmetry: Pm-3m (221)
Formation energy from the elements, eV/atom: 0.491
D(E_F), states/eV/f.u.: 3.8
Calculated total energy, eV/atom: -32.400